(w)
The following is a DFT calculation (PBE-GGA) of an optimized crystal structure of ZrMoS2.

a b c (Å): 4.8043 4.8043 13.8851
angles (deg): 90.00 90.00 90.00
Space group I-42d (No. 122)
Symmetry-distinct sites (fractional):
Zr: 0.0000 0.0000 0.0000
Mo: 0.0000 0.0000 0.5000
S: 0.2148 0.2500 0.6250

=====

(x)
The following is a DFT calculation (PBE-GGA) of an optimized crystal structure of ZrMoS2.

a b c (Å): 3.1459 3.1459 25.4382
angles (deg): 90.00 90.00 120.00
Space group R-3m (No. 166, hexagonal axes)
Symmetry-distinct sites (fractional):
Zr: 0.0000 0.0000 0.0000
Mo: 0.0000 0.0000 0.5000
S: 0.0000 0.0000 0.1021

=====

(y)
The following is a DFT calculation (PBE-GGA) of an optimized crystal structure of ZrMoS2.

a b c (Å): 6.2972 6.2972 6.2972
angles (deg): 90.00 90.00 90.00
Space group Fm-3m (No. 225)
Symmetry-distinct sites (fractional):
Zr: 0.0000 0.0000 0.0000
Mo: 0.0000 0.0000 0.5000
S: 0.2500 0.2500 0.2500

=====

Pick (y): it beats the second-best structure by 0.084 eV/atom.

=====

(w)
The following is a DFT calculation (PBE-GGA) of an optimized crystal structure of Zr3MoS.

a b c (Å): 4.7760 4.7760 4.7760
angles (deg): 90.00 90.00 90.00
Space group Pm-3m (No. 221)
Symmetry-distinct sites (fractional):
Zr: 0.0000 0.0000 0.5000
Mo: 0.5000 0.5000 0.5000
S: 0.0000 0.0000 0.0000

=====

(x)
The following is a DFT calculation (PBE-GGA) of an optimized crystal structure of Zr3MoS.

a b c (Å): 5.0410 5.0410 5.0410
angles (deg): 90.00 90.00 90.00
Space group Pm-3m (No. 221)
Symmetry-distinct sites (fractional):
Zr: 0.0000 0.0000 0.5000
Mo: 0.0000 0.0000 0.0000
S: 0.5000 0.5000 0.5000

=====

Pick (w): it beats the second-best structure by 0.818 eV/atom.

=====

(w)
The following is a DFT calculation (PBE-GGA) of an optimized crystal structure of SbMo3.

a b c (Å): 3.1528 3.1528 8.2153
angles (deg): 90.00 90.00 120.00
Space group P-6m2 (No. 187)
Symmetry-distinct sites (fractional):
Sb: 0.0000 0.0000 0.0000
Mo: 0.0000 0.0000 0.5000
Mo: 0.3333 0.6667 0.2598

=====

(x)
The following is a DFT calculation (PBE-GGA) of an optimized crystal structure of SbMo3.

a b c (Å): 4.9941 4.9941 4.9941
angles (deg): 90.00 90.00 90.00
Space group Pm-3m (No. 221)
Symmetry-distinct sites (fractional):
Sb: 0.0000 0.0000 0.0000
Mo: 0.0000 0.0000 0.5000

=====

Pick (w): it beats the second-best structure by 2.673 eV/atom.

=====

(w)
The following is a DFT calculation (PBE-GGA) of an optimized crystal structure of SbMo3.

a b c (Å): 6.4524 6.4524 6.4524
angles (deg): 90.00 90.00 90.00
Space group Fm-3m (No. 225)
Symmetry-distinct sites (fractional):
Sb: 0.0000 0.0000 0.0000
Mo: 0.0000 0.0000 0.5000
Mo: 0.2500 0.2500 0.2500

=====

(x)
The following is a DFT calculation (PBE-GGA) of an optimized crystal structure of SbMo3.

a b c (Å): 5.6750 5.6750 4.8479
angles (deg): 90.00 90.00 120.00
Space group P6_3/mmc (No. 194)
Symmetry-distinct sites (fractional):
Sb: 0.3333 0.6667 0.2500
Mo: 0.1630 0.3260 0.7500

=====

Pick (x): it beats the second-best structure by 0.032 eV/atom.

=====

(w)
The following is a DFT calculation (PBE-GGA) of an optimized crystal structure of SbMo3.

a b c (Å): 3.9051 3.9051 8.8672
angles (deg): 90.00 90.00 90.00
Space group I4/mmm (No. 139)
Symmetry-distinct sites (fractional):
Sb: 0.0000 0.0000 0.0000
Mo: 0.0000 0.0000 0.5000
Mo: 0.0000 0.5000 0.2500

=====

(x)
The following is a DFT calculation (PBE-GGA) of an optimized crystal structure of SbMo3.

a b c (Å): 3.9328 3.9328 17.5293
angles (deg): 90.00 90.00 90.00
Space group I4/mmm (No. 139)
Symmetry-distinct sites (fractional):
Sb: 0.0000 0.0000 0.1243
Mo: 0.0000 0.0000 0.3745
Mo: 0.0000 0.5000 0.0000
Mo: 0.0000 0.5000 0.2500

=====

Pick (w): it beats the second-best structure by 0.047 eV/atom.

=====

(w)
The following is a DFT calculation (PBE-GGA) of an optimized crystal structure of Sb5Mo.

a b c (Å): 3.5526 16.6442 5.1960
angles (deg): 90.00 90.00 90.00
Space group Cmmm (No. 65)
Symmetry-distinct sites (fractional):
Sb: 0.0000 0.0000 0.0000
Sb: 0.0000 0.1364 0.5000
Sb: 0.0000 0.3438 0.0000
Mo: 0.0000 0.5000 0.5000

=====

(x)
The following is a DFT calculation (PBE-GGA) of an optimized crystal structure of Sb5Mo.

a b c (Å): 6.0638 6.0638 5.5687
angles (deg): 90.00 90.00 120.00
Space group P6/mmm (No. 191)
Symmetry-distinct sites (fractional):
Sb: 0.0000 0.5000 0.0000
Sb: 0.3333 0.6667 0.5000
Mo: 0.0000 0.0000 0.5000

=====

(y)
The following is a DFT calculation (PBE-GGA) of an optimized crystal structure of Sb5Mo.

a b c (Å): 14.1788 3.3897 8.7081
angles (deg): 90.00 123.45 90.00
Space group Cm (No. 8)
Symmetry-distinct sites (fractional):
Sb: 0.0000 0.0000 0.0000
Sb: 0.0121 0.0000 0.3593
Sb: 0.2086 0.5000 0.6845
Sb: 0.2329 0.0000 0.1281
Sb: 0.3391 0.0000 0.5388
Mo: 0.1556 0.5000 0.3166

=====

Pick (y): it beats the second-best structure by 0.264 eV/atom.

=====

(w)
The following is a DFT calculation (PBE-GGA) of an optimized crystal structure of ScSbMo2.

a b c (Å): 6.5909 6.5909 6.5909
angles (deg): 90.00 90.00 90.00
Space group Fm-3m (No. 225)
Symmetry-distinct sites (fractional):
Sc: 0.0000 0.0000 0.0000
Sb: 0.0000 0.0000 0.5000
Mo: 0.2500 0.2500 0.2500

=====

(x)
The following is a DFT calculation (PBE-GGA) of an optimized crystal structure of ScSbMo2.

a b c (Å): 4.3458 4.3458 7.6081
angles (deg): 90.00 90.00 90.00
Space group I-4m2 (No. 119)
Symmetry-distinct sites (fractional):
Sc: 0.0000 0.0000 0.0000
Sb: 0.0000 0.5000 0.2500
Mo: 0.0000 0.0000 0.5000
Mo: 0.0000 0.5000 0.7500

=====

Pick (x): it beats the second-best structure by 0.197 eV/atom.

=====

(w)
The following is a DFT calculation (PBE-GGA) of an optimized crystal structure of ScSbMo2.

a b c (Å): 3.2091 3.2091 26.3742
angles (deg): 90.00 90.00 120.00
Space group R3m (No. 160, hexagonal axes)
Symmetry-distinct sites (fractional):
Sc: 0.0000 0.0000 0.0000
Sb: 0.0000 0.0000 0.7647
Mo: 0.0000 0.0000 0.2507
Mo: 0.0000 0.0000 0.5140

=====

(x)
The following is a DFT calculation (PBE-GGA) of an optimized crystal structure of ScSbMo2.

a b c (Å): 3.9705 3.9705 9.2632
angles (deg): 90.00 90.00 90.00
Space group I4/mmm (No. 139)
Symmetry-distinct sites (fractional):
Sc: 0.0000 0.0000 0.0000
Sb: 0.0000 0.0000 0.5000
Mo: 0.0000 0.5000 0.2500

=====

(y)
The following is a DFT calculation (PBE-GGA) of an optimized crystal structure of ScSbMo2.

a b c (Å): 3.1708 3.1708 26.3418
angles (deg): 90.00 90.00 120.00
Space group R-3m (No. 166, hexagonal axes)
Symmetry-distinct sites (fractional):
Sc: 0.0000 0.0000 0.0000
Sb: 0.0000 0.0000 0.5000
Mo: 0.0000 0.0000 0.2459

=====

(z)
The following is a DFT calculation (PBE-GGA) of an optimized crystal structure of ScSbMo2.

a b c (Å): 3.4747 4.9993 8.7985
angles (deg): 90.00 90.00 90.00
Space group Cmm2 (No. 35)
Symmetry-distinct sites (fractional):
Sc: 0.0000 0.0000 0.0000
Sb: 0.0000 0.5000 0.2787
Mo: 0.0000 0.0000 0.5351
Mo: 0.0000 0.5000 0.7515

=====

Pick (x): it beats the second-best structure by 0.055 eV/atom.

=====

(w)
The following is a DFT calculation (PBE-GGA) of an optimized crystal structure of Sc2SbMo.

a b c (Å): 3.5855 3.5855 6.4181
angles (deg): 90.00 90.00 90.00
Space group P4mm (No. 99)
Symmetry-distinct sites (fractional):
Sc: 0.0000 0.0000 0.0000
Sc: 0.5000 0.5000 0.2940
Sb: 0.5000 0.5000 0.7533
Mo: 0.0000 0.0000 0.5522

=====

(x)
The following is a DFT calculation (PBE-GGA) of an optimized crystal structure of Sc2SbMo.

a b c (Å): 3.7581 4.5368 9.4195
angles (deg): 90.00 90.00 90.00
Space group Imm2 (No. 44)
Symmetry-distinct sites (fractional):
Sc: 0.0000 0.0000 0.0000
Sc: 0.0000 0.5000 0.2405
Sb: 0.0000 0.0000 0.4782
Mo: 0.0000 0.5000 0.7444

=====

(y)
The following is a DFT calculation (PBE-GGA) of an optimized crystal structure of Sc2SbMo.

a b c (Å): 4.5380 4.5380 3.8398
angles (deg): 90.00 90.00 90.00
Space group P4/mmm (No. 123)
Symmetry-distinct sites (fractional):
Sc: 0.0000 0.5000 0.0000
Sb: 0.0000 0.0000 0.5000
Mo: 0.5000 0.5000 0.5000

=====

(z)
The following is a DFT calculation (PBE-GGA) of an optimized crystal structure of Sc2SbMo.

a b c (Å): 3.5499 4.5108 5.5858
angles (deg): 90.00 108.40 90.00
Space group Pm (No. 6)
Symmetry-distinct sites (fractional):
Sc: 0.0000 0.0000 0.0000
Sc: 0.3008 0.5000 0.6066
Sb: 0.7189 0.0000 0.4415
Mo: 0.5686 0.5000 0.1370

=====

Pick (y): it beats the second-best structure by 0.112 eV/atom.

=====

(w)
The following is a DFT calculation (PBE-GGA) of an optimized crystal structure of Sc3SbMo.

a b c (Å): 5.0189 5.0189 5.0189
angles (deg): 90.00 90.00 90.00
Space group Pm-3m (No. 221)
Symmetry-distinct sites (fractional):
Sc: 0.0000 0.0000 0.5000
Sb: 0.5000 0.5000 0.5000
Mo: 0.0000 0.0000 0.0000

=====

(x)
The following is a DFT calculation (PBE-GGA) of an optimized crystal structure of Sc3SbMo.

a b c (Å): 5.2027 5.2027 5.2027
angles (deg): 90.00 90.00 90.00
Space group Pm-3m (No. 221)
Symmetry-distinct sites (fractional):
Sc: 0.0000 0.0000 0.5000
Sb: 0.0000 0.0000 0.0000
Mo: 0.5000 0.5000 0.5000

=====

Pick (w): it beats the second-best structure by 0.701 eV/atom.

=====

(w)
The following is a DFT calculation (PBE-GGA) of an optimized crystal structure of SbMo2Se.

a b c (Å): 5.6254 8.8594 3.4736
angles (deg): 90.00 120.70 90.00
Space group C2/m (No. 12)
Symmetry-distinct sites (fractional):
Sb: 0.0000 0.0000 0.0000
Mo: 0.2500 0.2500 0.5000
Se: 0.0000 0.5000 0.0000

=====

(x)
The following is a DFT calculation (PBE-GGA) of an optimized crystal structure of SbMo2Se.

a b c (Å): 8.2388 3.1658 5.7664
angles (deg): 90.00 103.13 90.00
Space group C2/m (No. 12)
Symmetry-distinct sites (fractional):
Sb: 0.0000 0.0000 0.0000
Mo: 0.2450 0.0000 0.6999
Se: 0.0000 0.5000 0.5000

=====

Pick (x): it beats the second-best structure by 0.331 eV/atom.